{"formula": "MoWN2O", "functional": "GGA+U", "state": "optimized geometry", "lattice_angstrom": [[-2.281, -3.008, -1.427], [3.145, -1.377, -2.122], [1.037, -2.190, 2.958]], "species": ["Mo", "O", "W", "N", "N"], "frac_coords": [[0.000, 0.000, 0.000], [0.000, 0.000, 0.500], [0.500, 0.500, 0.500], [0.000, 0.500, 0.000], [0.500, 0.000, 0.000]], "sg": "P4/mmm", "mass_density_g_cm3": 8.632, "total_magnetization_mub_per_fu": 3.6, "final_energy_ev_per_atom": -6.672}